Below is CuPCl2 at its PBEsol-relaxed geometry, with properties calculated at the meta-GGA SCAN level.

V: 19.39 Å³/atom
total magnetic moment: 0.0 Bohr magnetons per cell
energy relative to the elements, uncorrected: -0.258 eV/atom

a b c (Å): 3.1819 3.1819 7.6620
angles (deg): 90.00 90.00 90.00
Last column: nearest neighbours and their distance in Å.
Sites, in units of the cell vectors:
Cl 0.0000 0.0000 0.9530  1 Cu 2.15
Cl 0.5000 0.5000 0.3066  1 P 2.01
Cu 0.0000 0.0000 0.6719  1 Cl 2.15, 4 P 2.39
P 0.5000 0.5000 0.5685  1 Cl 2.01